[1]
DFT (GGA-PBE) results for an optimized crystal structure of TaAgTe2.

DFT total energy   -39.97 eV/cell

Cell lengths 6.398, 6.398, 7.837 Å; angles 65.91, 65.91, 90.00 degrees
Site moments in Bohr magnetons follow the coordinates.
Element x y z (fractional)
1 Te 0.639 0.125 0.250  -0.04
2 Te 0.111 0.625 0.250  -0.04
3 Te 0.375 0.361 0.750  -0.05
4 Te 0.875 0.889 0.750  -0.04
5 Ag 0.500 0.500 0.000  0.02
6 Ag 0.250 0.750 0.500  0.02
7 Ta 0.000 0.000 0.000  1.34
8 Ta 0.750 0.250 0.500  1.34

---

[2]
DFT (GGA-PBE) results for an optimized crystal structure of AcTlRh2.

Calculated formation energy   -0.19 eV/atom

Cell lengths 3.607, 3.607, 6.709 Å; angles 90.00, 90.00, 90.00 degrees
Element x y z (fractional)
1 Ac 0.500 0.500 0.500
2 Rh 0.000 0.000 0.780
3 Rh 0.000 0.000 0.220
4 Tl 0.500 0.500 0.000

---

[3]
DFT (GGA-PBE) results for an optimized crystal structure of Li2Pm5Sn12.

Calculated formation energy   -0.40 eV/atom

Cell lengths 8.397, 11.012, 8.755 Å; angles 131.50, 90.00, 112.41 degrees
Element x y z (fractional)
1 Li 0.675 0.000 0.000
2 Li 0.325 0.000 0.000
3 Pm 0.287 0.575 0.567
4 Pm 0.287 0.575 0.052
5 Pm 0.000 0.000 0.500
6 Pm 0.713 0.425 0.948
7 Pm 0.713 0.425 0.433
8 Sn 0.065 0.130 0.238
9 Sn 0.053 0.723 0.961
10 Sn 0.670 0.723 0.961
11 Sn 0.074 0.683 0.397
12 Sn 0.609 0.683 0.397
13 Sn 0.487 0.973 0.681
14 Sn 0.513 0.027 0.319
15 Sn 0.926 0.317 0.603
16 Sn 0.391 0.317 0.603
17 Sn 0.947 0.277 0.039
18 Sn 0.330 0.277 0.039
19 Sn 0.935 0.870 0.762

---

[4]
DFT (GGA-PBE) results for an optimized crystal structure of CaGe3Au3.

Calculated formation energy   -0.06 eV/atom

Cell lengths 7.139, 7.139, 7.139 Å; angles 90.00, 90.00, 90.00 degrees
Element x y z (fractional)
1 Ge 0.250 0.000 0.500
2 Ge 0.000 0.500 0.250
3 Ge 0.500 0.750 0.000
4 Ge 0.750 0.000 0.500
5 Ge 0.000 0.500 0.750
6 Ge 0.500 0.250 0.000
7 Au 0.000 0.250 0.500
8 Au 0.000 0.750 0.500
9 Au 0.500 0.000 0.750
10 Au 0.750 0.500 0.000
11 Au 0.500 0.000 0.250
12 Au 0.250 0.500 0.000
13 Ca 0.500 0.500 0.500
14 Ca 0.000 0.000 0.000